# 1
The following is a DFT calculation (PBE) of crystalline PaCoCuSi2 at its relaxed geometry.

The structure in POSCAR format:
```
PaCoCuSi2
1.0
-1.306 3.756 0.292
-0.415 -0.450 3.940
5.374 -0.134 -1.466
Pa Co Cu Si
1 1 1 2
Cartesian
0.000 0.000 0.000 Pa
1.604 2.638 0.470 Co
2.049 0.535 2.295 Cu
0.251 2.027 2.276 Si
3.401 1.145 0.489 Si
```

Properties
The formation energy without anion corrections is -581.6 meV per atom.

***

# 2
The following is a DFT calculation (PBE) of crystalline TmPaCoCu at its relaxed geometry.

The structure in POSCAR format:
```
TmPaCoCu
1.0
4.764 0.000 0.000
2.382 4.126 0.000
2.382 1.375 3.890
Co Pa Tm Cu
1 1 1 1
Cartesian
2.382 1.375 0.972 Co
0.000 0.000 0.000 Pa
4.764 2.750 1.945 Tm
7.146 4.126 2.917 Cu
```

Properties
The formation energy is -0.071 eV per atom.

***

# 3
The following is a DFT calculation (PBE) of crystalline CoCu2Pb at its relaxed geometry.

The structure in POSCAR format:
```
CoCu2Pb
1.0
-0.133 4.007 -1.724
-3.769 1.603 -1.507
-2.008 3.231 2.139
Co Cu Pb
1 2 1
Cartesian
-2.955 4.420 -0.546 Co
0.000 0.000 0.000 Cu
-4.433 6.631 -0.819 Cu
-1.478 2.210 -0.273 Pb
```

Properties
The formation energy is 0.372 eV per atom.

***

# 4
The following is a DFT calculation (PBE) of crystalline CoCu2Pb at its relaxed geometry.

The structure in POSCAR format:
```
CoCu2Pb
1.0
5.144 0.018 0.235
4.104 3.101 0.235
1.489 0.502 3.866
Co Cu Pb
1 2 1
Cartesian
8.053 2.716 3.251 Co
1.613 0.544 3.808 Cu
5.245 1.769 2.226 Cu
2.684 0.905 1.084 Pb
```

Properties
The formation energy is 0.386 eV per atom.

***

# 5
The following is a DFT calculation (PBE) of crystalline CoCu2Pb at its relaxed geometry.

The structure in POSCAR format:
```
CoCu2Pb
1.0
-0.422 -0.223 -3.239
-2.170 -2.276 0.439
-6.425 1.846 0.710
Co Cu Pb
1 2 1
Cartesian
-6.798 -0.294 -0.749 Co
-2.185 -2.262 0.440 Cu
-2.141 -0.435 -1.346 Cu
-4.359 -0.152 0.578 Pb
```

Properties
The formation energy is 0.383 eV per atom.

***

# 6
The following is a DFT calculation (PBE) of crystalline Co2Cu2Pb at its relaxed geometry.

The structure in POSCAR format:
```
Co2Cu2Pb
1.0
-3.461 1.709 5.567
2.186 -5.621 3.085
2.552 1.595 1.097
Pb Co Cu
2 4 4
Cartesian
0.000 0.000 0.000 Pb
-0.638 -1.956 4.326 Pb
0.610 -4.294 4.822 Co
-1.685 -1.988 6.809 Co
-1.885 0.381 3.830 Co
0.410 -1.924 1.843 Co
2.159 -2.657 3.516 Cu
0.802 -2.762 6.826 Cu
-0.882 0.340 6.233 Cu
0.476 0.445 2.923 Cu
```

Properties
The energy relative to the lowest polymorph listed for this composition is 0 meV per atom. The formation energy is 0.423 eV per atom.

***

# 7
The following is a DFT calculation (PBE) of crystalline CoCuPb at its relaxed geometry.

The structure in POSCAR format:
```
CoCuPb
1.0
4.174 0.000 0.000
-2.087 3.615 0.000
0.000 0.000 3.376
Co Cu Pb
1 1 1
Cartesian
0.000 0.000 0.568 Co
2.087 1.205 0.557 Cu
0.000 2.410 2.251 Pb
```

Properties
The energy relative to the lowest polymorph listed for this composition is 62 meV per atom. The formation energy is 0.504 eV per atom.

***

# 8
The following is a DFT calculation (PBE) of crystalline CoCuPb at its relaxed geometry.

The structure in POSCAR format:
```
CoCuPb
1.0
-3.674 0.845 1.898
-0.977 -1.892 3.645
-0.060 2.228 3.585
Co Cu Pb
1 1 1
Cartesian
-3.533 0.886 6.846 Co
0.000 0.000 0.000 Cu
-2.356 0.591 4.564 Pb
```

Properties
The energy relative to the lowest polymorph listed for this composition is 0 meV per atom. The formation energy is 0.443 eV per atom.

***

# 9
The following is a DFT calculation (PBE) of crystalline Co2Cu2Pb at its relaxed geometry.

The structure in POSCAR format:
```
Co2Cu2Pb
1.0
-3.732 -5.441 2.189
3.452 -4.136 -4.394
2.048 -0.549 2.126
Pb Co Cu
2 4 4
Cartesian
0.000 0.000 0.000 Pb
-0.140 -4.789 -1.102 Pb
2.705 -3.870 -1.486 Co
1.464 -7.339 -1.186 Co
-0.938 -6.256 1.407 Co
0.304 -2.787 1.108 Co
1.622 -5.632 -3.017 Cu
-1.088 -7.342 -0.850 Cu
-1.902 -3.945 0.813 Cu
0.807 -2.235 -1.355 Cu
```

Properties
The energy relative to the lowest polymorph listed for this composition is 70 meV per atom. The formation energy is 0.493 eV per atom.

***

# 10
The following is a DFT calculation (PBE) of crystalline CoCu2Pb at its relaxed geometry.

The structure in POSCAR format:
```
CoCu2Pb
1.0
3.810 0.013 0.000
-0.012 3.810 0.000
0.000 0.000 4.054
Co Cu Pb
1 2 1
Cartesian
-0.006 1.905 2.027 Co
0.000 0.000 0.000 Cu
1.899 1.912 0.000 Cu
1.905 0.006 2.027 Pb
```

Properties
The formation energy is 0.347 eV per atom.

***

# 11
The following is a DFT calculation (PBE) of crystalline CoCuPb at its relaxed geometry.

The structure in POSCAR format:
```
CoCuPb
1.0
-2.879 3.885 -0.954
-4.306 1.085 -2.140
-2.409 0.238 2.329
Co Cu Pb
1 1 1
Cartesian
-7.103 4.889 -3.001 Co
-4.092 1.906 0.418 Cu
-5.584 3.384 -1.276 Pb
```

Properties
The energy relative to the lowest polymorph listed for this composition is 19 meV per atom. The formation energy is 0.462 eV per atom.

***

# 12
The following is a DFT calculation (PBE) of crystalline CoCu2Pb at its relaxed geometry.

The structure in POSCAR format:
```
CoCu2Pb
1.0
-1.102 2.242 -2.067
-3.033 -0.444 1.135
-1.999 3.753 5.137
Co Cu Pb
1 2 1
Cartesian
-4.325 3.603 3.671 Co
-2.059 3.551 4.949 Cu
-2.456 1.857 3.324 Cu
-1.809 1.948 0.535 Pb
```

Properties
The formation energy is 0.406 eV per atom.

***

# 13
The following is a DFT calculation (PBE) of crystalline Co2Cu2Pb at its relaxed geometry.

The structure in POSCAR format:
```
Co2Cu2Pb
1.0
-2.250 2.835 -0.400
-2.542 -2.212 -1.379
-4.455 -0.585 4.342
Pb Co Cu
1 2 2
Cartesian
0.000 0.000 0.000 Pb
-2.814 0.129 0.173 Co
-6.433 -0.091 2.390 Co
-4.551 1.281 1.527 Cu
-4.697 -1.243 1.037 Cu
```

Properties
The energy relative to the lowest polymorph listed for this composition is 52 meV per atom. The formation energy is 0.475 eV per atom.

***

# 14
The following is a DFT calculation (PBE) of crystalline CoCu2Pb at its relaxed geometry.

The structure in POSCAR format:
```
CoCu2Pb
1.0
-6.517 4.315 -3.710
-8.075 2.495 -1.848
-6.935 5.109 -0.811
Co Cu Pb
1 2 1
Cartesian
-16.145 8.940 -4.777 Co
-0.277 0.154 -0.082 Cu
-10.486 5.806 -3.103 Cu
-5.382 2.980 -1.592 Pb
```

Properties
The formation energy is 0.578 eV per atom.

***

What are the theoretical density values for these records? In order: 8.90 11.35 11.11 10.85 10.59 10.21 10.75 10.29 10.35 11.10 11.23 10.46 9.95 9.66 g cm⁻³.
What are the size of the total moment values for these records? In order: 0.1 0.0 0.1 0.7 1.2 2.9 1.2 0.0 3.0 0.5 0.9 1.6 3.0 1.8 μB per formula unit.